# 1
Compound: Cu2Ag3
Source: OQMD via LeMat-Bulk
Functional: PBE
Structure: optimized geometry

Unit cell a=11.3629 b=11.3629 c=4.8756 alpha=94.70 beta=94.70 gamma=14.45
With the nearest neighbours (Å) after each atom.
Element x y z (fractional)
Cu  0.1579  0.1579  0.0525  3 Cu 2.55-2.60, 6 Ag 2.79-2.83
Cu  0.2526  0.2526  0.7813  5 Cu 2.55-2.60, 3 Ag 2.65-2.69
Cu  0.7474  0.7474  0.2187  5 Cu 2.55-2.60, 3 Ag 2.65-2.69
Cu  0.8421  0.8421  0.9475  3 Cu 2.55-2.60, 6 Ag 2.79-2.83
Ag  0.0532  0.0532  0.3489  11 Ag 2.80-2.96, 1 Cu 2.87
Ag  0.3398  0.3398  0.4472  7 Cu 2.65-2.83, 5 Ag 2.86-2.91
Ag  0.4433  0.4433  0.1440  2 Cu 2.79, 10 Ag 2.80-3.02
Ag  0.5567  0.5567  0.8560  2 Cu 2.79, 10 Ag 2.80-3.02
Ag  0.6602  0.6602  0.5528  7 Cu 2.65-2.83, 5 Ag 2.86-2.91
Ag  0.9468  0.9468  0.6511  11 Ag 2.80-2.96, 1 Cu 2.87

Computed properties:
The calculation puts the formation energy at 0.0824 eV/atom. Its volume is 156.6 Å³ per cell. For the density, the calculation gives 9.561 Mg/m³.



# 2
Compound: OsPb
Source: OQMD via LeMat-Bulk
Functional: PBE
Structure: optimized geometry

Unit cell a=3.2406 b=3.2406 c=4.2799 alpha=90.00 beta=90.00 gamma=120.00
With the nearest neighbours (Å) after each atom.
Element x y z (fractional)
Os  0.0000  0.0000  0.0000  6 Pb 2.84
Pb  0.6667  0.3333  0.5000  6 Os 2.84

Computed properties:
As for the total magnetic moment: 0.00 μB/cell. Its volume is 38.9 Å³ per cell. For the density, the calculation gives 16.955 Mg/m³.



# 3
Compound: HoUAs
Source: OQMD via LeMat-Bulk
Functional: PBE
Structure: optimized geometry

Unit cell a=6.8294 b=6.8294 c=6.8294 alpha=90.00 beta=90.00 gamma=90.00
With the nearest neighbours (Å) after each atom.
Element x y z (fractional)
Ho  0.0000  0.0000  0.0000  4 As 2.96
Ho  0.0000  0.5000  0.5000  4 As 2.96
Ho  0.5000  0.0000  0.5000  4 As 2.96
Ho  0.5000  0.5000  0.0000  4 As 2.96
U  0.0000  0.0000  0.5000  4 As 2.96
U  0.0000  0.5000  0.0000  4 As 2.96
U  0.5000  0.0000  0.0000  4 As 2.96
U  0.5000  0.5000  0.5000  4 As 2.96
As  0.2500  0.2500  0.2500  4 Ho 2.96, 4 U 2.96
As  0.2500  0.7500  0.7500  4 Ho 2.96, 4 U 2.96
As  0.7500  0.2500  0.7500  4 Ho 2.96, 4 U 2.96
As  0.7500  0.7500  0.2500  4 Ho 2.96, 4 U 2.96

Computed properties:
As for the total magnetic moment: 15.60 μB/cell. Its volume is 318.5 Å³ per cell. For the density, the calculation gives 9.965 Mg/m³.



# 4
Compound: Lu2NiN
Source: OQMD via LeMat-Bulk
Functional: PBE
Structure: optimized geometry

Unit cell a=3.3731 b=3.3731 c=13.1911 alpha=90.00 beta=90.00 gamma=120.00
With the nearest neighbours (Å) after each atom.
Element x y z (fractional)
Lu  0.3333  0.6667  0.1027  3 N 2.37
Lu  0.3333  0.6667  0.3973  3 N 2.37
Lu  0.6667  0.3333  0.6027  3 N 2.37
Lu  0.6667  0.3333  0.8973  3 N 2.37
Ni  0.3333  0.6667  0.7500  6 Lu 2.75
Ni  0.6667  0.3333  0.2500  6 Lu 2.75
N  0.0000  0.0000  0.0000  6 Lu 2.37
N  0.0000  0.0000  0.5000  6 Lu 2.37

Computed properties:
As for the total magnetic moment: 0.01 μB/cell. Its volume is 130.0 Å³ per cell. For the density, the calculation gives 10.799 Mg/m³.



# 5
Compound: KTcAgTe3
Source: OQMD via LeMat-Bulk
Functional: PBE
Structure: optimized geometry

Unit cell a=8.2863 b=8.2863 c=10.8137 alpha=90.00 beta=90.00 gamma=152.03
With the nearest neighbours (Å) after each atom.
Element x y z (fractional)
K  0.2347  0.7653  0.7500  2 Ag 3.61, 8 Te 3.67-3.76, 2 K 4.01
K  0.7653  0.2347  0.2500  2 Ag 3.61, 8 Te 3.67-3.76, 2 K 4.01
Tc  0.0000  0.0000  0.0000  6 Te 2.79-2.94
Tc  0.0000  0.0000  0.5000  6 Te 2.79-2.94
Ag  0.4520  0.5480  0.2500  4 Te 2.72-2.78
Ag  0.5480  0.4520  0.7500  4 Te 2.72-2.78
Te  0.0716  0.9284  0.2500  2 Ag 2.78, 2 Tc 2.94
Te  0.3797  0.6203  0.0225  1 Ag 2.72, 2 Tc 2.79
Te  0.3797  0.6203  0.4775  1 Ag 2.72, 2 Tc 2.79
Te  0.6203  0.3797  0.5225  1 Ag 2.72, 2 Tc 2.79
Te  0.6203  0.3797  0.9775  1 Ag 2.72, 2 Tc 2.79
Te  0.9284  0.0716  0.7500  2 Ag 2.78, 2 Tc 2.94

Computed properties:
As for the total magnetic moment: 4.65 μB/cell. Its volume is 348.2 Å³ per cell. For the density, the calculation gives 5.987 Mg/m³.



# 6
Compound: BeZnAsO
Source: OQMD via LeMat-Bulk
Functional: PBE
Structure: optimized geometry

Unit cell a=3.8183 b=3.8183 c=8.3979 alpha=90.00 beta=90.00 gamma=90.00
With the nearest neighbours (Å) after each atom.
Element x y z (fractional)
Be  0.2500  0.7500  0.0000  4 As 2.30
Be  0.7500  0.2500  0.0000  4 As 2.30
Zn  0.2500  0.2500  0.4348  4 O 1.99
Zn  0.7500  0.7500  0.5652  4 O 1.99
As  0.2500  0.2500  0.8467  4 Be 2.30
As  0.7500  0.7500  0.1533  4 Be 2.30
O  0.2500  0.7500  0.5000  4 Zn 1.99
O  0.7500  0.2500  0.5000  4 Zn 1.99

Computed properties:
Its volume is 122.4 Å³ per cell. For the density, the calculation gives 4.485 Mg/m³.



no.,uncorrected energy (eV per atom)
1,-3.10
2,-6.34
3,-6.97
4,-6.65
5,-4.14
6,-4.04